First-principles (PBE) data for a geometry-optimized NdDyIr2 structure, as listed in Alexandria.

**Formation enthalpy at 0 K**: -0.66 eV per atom
**Final energy**: -7.43 eV per atom
**V**: 21.21 A^3/atom

Lattice parameters (Å, degrees): 3.6338 4.8325 4.8325 90.00 90.00 90.00
Closest atoms and distances in Å follow each position.
Positions (direct):
Dy (0.5000, 0.5000, 0.5000)  8 Ir 3.02
Nd (0.5000, 0.0000, 0.0000)  8 Ir 3.02
Ir (0.0000, 0.0000, 0.5000)  4 Dy 3.02, 4 Nd 3.02
Ir (0.0000, 0.5000, 0.0000)  4 Nd 3.02, 4 Dy 3.02


First-principles (PBE) data for a geometry-optimized NdDy2Ir structure, as listed in Alexandria.

**Formation enthalpy at 0 K**: -0.37 eV per atom
**Final energy**: -6.08 eV per atom
**V**: 30.89 A^3/atom

Lattice parameters (Å, degrees): 4.0118 4.0118 9.1615 77.35 77.35 60.00
Closest atoms and distances in Å follow each position.
Positions (direct):
Nd (0.5019, 0.5019, 0.4943)  6 Dy 3.70-3.81, 6 Nd 4.01
Dy (0.2770, 0.2770, 0.1690)  3 Ir 2.75
Dy (0.0550, 0.0550, 0.8349)  3 Ir 2.75
Ir (0.6660, 0.6660, 0.0019)  6 Dy 2.75


First-principles (PBE) data for a geometry-optimized NdDy3Ir2 structure, as listed in Alexandria.

**Formation enthalpy at 0 K**: -0.55 eV per atom
**Final energy**: -6.60 eV per atom
**V**: 25.19 A^3/atom

Lattice parameters (Å, degrees): 5.0327 10.7597 8.2904 134.54 90.00 103.53
Closest atoms and distances in Å follow each position.
Positions (direct):
Dy (0.3256, 0.6511, 0.6711)  2 Ir 2.87
Dy (0.6150, 0.2300, 0.6636)  5 Ir 2.83-3.14
Dy (0.3850, 0.7700, 0.3364)  5 Ir 2.83-3.14
Dy (0.0684, 0.1368, 0.3058)  3 Ir 2.81-2.89
Dy (0.6744, 0.3489, 0.3289)  2 Ir 2.87
Dy (0.9316, 0.8632, 0.6942)  3 Ir 2.81-2.89
Ir (0.5273, 0.0547, 0.8297)  5 Dy 2.83-2.98, 2 Nd 3.16
Ir (0.4727, 0.9453, 0.1703)  5 Dy 2.83-2.98, 2 Nd 3.16
Ir (0.2260, 0.4521, 0.7899)  5 Dy 2.81-3.14, 3 Nd 3.03-3.05
Ir (0.7740, 0.5479, 0.2101)  5 Dy 2.81-3.14, 3 Nd 3.03-3.05
Nd (0.8448, 0.6897, 0.9947)  5 Ir 3.03-3.16, 1 Dy 3.34
Nd (0.1552, 0.3103, 0.0053)  5 Ir 3.03-3.16, 1 Dy 3.34


First-principles (PBE) data for a geometry-optimized NdDy2IrO8 structure, as listed in Alexandria.

**Final energy**: -7.53 eV per atom
**V**: 14.81 A^3/atom
**Raw formation energy**: -2686 kJ/mol of formula units

Lattice parameters (Å, degrees): 5.0830 5.0729 6.8914 90.00 90.00 89.76
Closest atoms and distances in Å follow each position.
Positions (direct):
O (0.6836, 0.6851, 0.5000)  2 Dy 2.17, 1 Nd 2.27
O (0.1854, 0.8132, 0.7962)  1 Ir 1.94
O (0.2669, 0.2659, 0.0000)  1 Ir 1.92
O (0.8147, 0.1868, 0.7962)  1 Ir 1.94
O (0.3164, 0.3149, 0.5000)  2 Dy 2.17, 1 Nd 2.27
O (0.1853, 0.8132, 0.2038)  1 Ir 1.94
O (0.7331, 0.7341, 0.0000)  1 Ir 1.92
O (0.8146, 0.1868, 0.2037)  1 Ir 1.94
Nd (0.0000, 0.0000, 0.5000)  6 O 2.27-2.44
Dy (0.5000, 0.5000, 0.7494)  6 O 2.17-2.41
Dy (0.5000, 0.5000, 0.2506)  6 O 2.17-2.41
Ir (0.0000, 0.0000, 0.0000)  6 O 1.92-1.94